Compound: LaSm2Ho4
Source: the Alexandria database
Functional: PBE-GGA
Structure: relaxed

Properties
The calculated total energy is -4.63 eV/atom. As for the energy of formation from the pure elements: 0.04 eV per atom.

Geometry as CIF:
```
data_LaSm2Ho4
_chemical_formula_sum 'La2 Sm4 Ho8'
_cell_length_a 7.1098
_cell_length_b 8.6588
_cell_length_c 8.8815
_cell_angle_alpha 114.32
_cell_angle_beta 101.61
_cell_angle_gamma 101.92
_symmetry_space_group_name_H-M 'P 1'
_symmetry_Int_Tables_number 1
_symmetry_space_group_name_Hall 'P 1'
loop_
_atom_site_label
_atom_site_type_symbol
_atom_site_fract_x
_atom_site_fract_y
_atom_site_fract_z
La1 La 0.0000 0.0000 0.0000
La2 La 0.3010 0.6635 0.5464
Sm1 Sm 0.2108 0.1284 0.7045
Sm2 Sm 0.5248 0.8232 0.2682
Sm3 Sm 0.8034 0.6667 0.5401
Sm4 Sm 0.8789 0.3997 0.1286
Ho1 Ho 0.0258 0.8244 0.2760
Ho2 Ho 0.1045 0.5537 0.8695
Ho3 Ho 0.3862 0.4029 0.1348
Ho4 Ho 0.4144 0.2286 0.4116
Ho5 Ho 0.4992 0.9995 0.9972
Ho6 Ho 0.6069 0.5547 0.8663
Ho7 Ho 0.7037 0.1176 0.6997
Ho8 Ho 0.9088 0.2312 0.4126
```